# CrOs3Rh, optimized geometry, DFT PBEsol
data_CrOs3Rh
_chemical_formula_sum 'Cr1 Os3 Rh1'
_space_group_name_H-M_alt 'P m -3 m'
_space_group_IT_number 221
_space_group_name_Hall '-P 4 2 3'
_cell_length_a 4.334
_cell_length_b 4.334
_cell_length_c 4.334
_cell_angle_alpha 90.00
_cell_angle_beta 90.00
_cell_angle_gamma 90.00
loop_
_atom_site_label
_atom_site_type_symbol
_atom_site_fract_x
_atom_site_fract_y
_atom_site_fract_z
Cr1 Cr 0.000 0.000 0.000
Os1 Os 0.000 0.000 0.500
Rh1 Rh 0.500 0.500 0.500
# * DOS(E_F): 1.554 states/eV per atom
# * spin magnetization: 0.000 μB per formula unit
# * calculated volume: 16.3 Å³/atom
# * mass density: 14.801 g cm⁻³
# * DFT total energy: -45.63 eV/cell
# * ΔE_f: 1.879 eV/atom